VASP calculation (PBE-GGA) on a relaxed structure of Hg2Sb2Pt.

SG = P4/mbm
Energy relative to the elements, uncorrected = -0.084 eV/atom
Density of states at the Fermi level = 0.360 states/eV per atom
Crystal system = tetragonal

Lattice parameters (Å, degrees): 6.8792 6.8792 6.0423 90.00 90.00 90.00
Closest atoms and distances in Å follow each position.
Fractional positions:
1 Hg 0.1621 0.3379 0.0000  2 Sb 3.02, 1 Hg 3.15
2 Hg 0.3379 0.8379 0.0000  2 Sb 3.02, 1 Hg 3.15
3 Hg 0.6621 0.1621 0.0000  2 Sb 3.02, 1 Hg 3.15
4 Hg 0.8379 0.6621 0.0000  2 Sb 3.02, 1 Hg 3.15
5 Sb 0.1494 0.3506 0.5000  2 Pt 2.62, 1 Sb 2.91
6 Sb 0.3506 0.8506 0.5000  2 Pt 2.62, 1 Sb 2.91
7 Sb 0.6494 0.1494 0.5000  2 Pt 2.62, 1 Sb 2.91
8 Sb 0.8506 0.6494 0.5000  2 Pt 2.62, 1 Sb 2.91
9 Pt 0.0000 0.0000 0.5000  4 Sb 2.62
10 Pt 0.5000 0.5000 0.5000  4 Sb 2.62

=====

VASP calculation (PBE-GGA) on a relaxed structure of Hg2SbPt2.

SG = P4/mbm
Energy relative to the elements, uncorrected = 0.009 eV/atom
Density of states at the Fermi level = 0.477 states/eV per atom
Crystal system = tetragonal
Energy above the lowest structure with this stoichiometry = 0.0000 eV/atom

Lattice parameters (Å, degrees): 7.2592 7.2592 3.8705 90.00 90.00 90.00
Closest atoms and distances in Å follow each position.
Fractional positions:
1 Hg 0.1570 0.3430 0.0000  6 Pt 2.82-2.92
2 Hg 0.3430 0.8430 0.0000  6 Pt 2.82-2.92
3 Hg 0.6570 0.1570 0.0000  6 Pt 2.82-2.92
4 Hg 0.8430 0.6570 0.0000  6 Pt 2.82-2.92
5 Sb 0.0000 0.0000 0.5000  4 Pt 2.79
6 Sb 0.5000 0.5000 0.5000  4 Pt 2.79
7 Pt 0.1431 0.6431 0.5000  2 Sb 2.79, 6 Hg 2.82-2.92, 1 Pt 2.94
8 Pt 0.3569 0.1431 0.5000  2 Sb 2.79, 6 Hg 2.82-2.92, 1 Pt 2.94
9 Pt 0.6431 0.8569 0.5000  2 Sb 2.79, 6 Hg 2.82-2.92, 1 Pt 2.94
10 Pt 0.8569 0.3569 0.5000  2 Sb 2.79, 6 Hg 2.82-2.92, 1 Pt 2.94

=====

VASP calculation (PBE-GGA) on a relaxed structure of Hg2SbPt2.

SG = I4/mmm
Energy relative to the elements, uncorrected = 0.093 eV/atom
Density of states at the Fermi level = 0.457 states/eV per atom
Crystal system = tetragonal
Energy above the lowest structure with this stoichiometry = 0.0842 eV/atom

Lattice parameters (Å, degrees): 3.8992 3.8992 13.9357 90.00 90.00 90.00
Closest atoms and distances in Å follow each position.
Fractional positions:
1 Hg 0.0000 0.5000 0.2500  4 Hg 2.76, 4 Pt 2.92
2 Hg 0.0000 0.5000 0.7500  4 Hg 2.76, 4 Pt 2.92
3 Hg 0.5000 0.0000 0.2500  4 Hg 2.76, 4 Pt 2.92
4 Hg 0.5000 0.0000 0.7500  4 Hg 2.76, 4 Pt 2.92
5 Sb 0.0000 0.0000 0.0000  8 Pt 3.05
6 Sb 0.5000 0.5000 0.5000  8 Pt 3.05
7 Pt 0.0000 0.0000 0.4058  1 Pt 2.62, 4 Hg 2.92
8 Pt 0.0000 0.0000 0.5942  1 Pt 2.62, 4 Hg 2.92
9 Pt 0.5000 0.5000 0.0942  1 Pt 2.62, 4 Hg 2.92
10 Pt 0.5000 0.5000 0.9058  1 Pt 2.62, 4 Hg 2.92

=====

VASP calculation (PBE-GGA) on a relaxed structure of HgSbPt.

SG = P3m1
Energy relative to the elements, uncorrected = -0.126 eV/atom
Density of states at the Fermi level = 0.328 states/eV per atom
Crystal system = trigonal
Energy above the lowest structure with this stoichiometry = 0.0432 eV/atom

Lattice parameters (Å, degrees): 3.8201 3.8201 5.6862 90.00 90.00 120.00
Closest atoms and distances in Å follow each position.
Fractional positions:
1 Hg 0.0000 0.0000 0.0000  3 Pt 2.89
2 Sb 0.3333 0.6667 0.5821  3 Pt 2.64
3 Pt 0.6667 0.3333 0.3280  3 Sb 2.64, 3 Hg 2.89

=====

VASP calculation (PBE-GGA) on a relaxed structure of HgSb2Pt7.

SG = I4/mmm
Energy relative to the elements, uncorrected = -0.180 eV/atom
Density of states at the Fermi level = 0.535 states/eV per atom
Crystal system = tetragonal

Lattice parameters (Å, degrees): 11.9302 11.9302 11.9302 160.66 160.66 27.48
Closest atoms and distances in Å follow each position.
Fractional positions:
1 Hg 0.0000 0.0000 0.0000  12 Pt 2.83-2.92
2 Sb 0.3308 0.3308 0.0000  8 Pt 2.69-2.74
3 Sb 0.6692 0.6692 0.0000  8 Pt 2.69-2.74
4 Pt 0.0918 0.5918 0.5000  2 Sb 2.69, 6 Pt 2.83-2.92, 2 Hg 2.92
5 Pt 0.2500 0.7500 0.5000  4 Sb 2.74, 4 Pt 2.83
6 Pt 0.4082 0.9082 0.5000  2 Sb 2.69, 6 Pt 2.83-2.92, 2 Hg 2.92
7 Pt 0.5000 0.5000 0.0000  4 Hg 2.83, 8 Pt 2.92
8 Pt 0.5918 0.0918 0.5000  2 Sb 2.69, 6 Pt 2.83-2.92, 2 Hg 2.92
9 Pt 0.7500 0.2500 0.5000  4 Sb 2.74, 4 Pt 2.83
10 Pt 0.9082 0.4082 0.5000  2 Sb 2.69, 6 Pt 2.83-2.92, 2 Hg 2.92

=====

VASP calculation (PBE-GGA) on a relaxed structure of HgSbPt3.

SG = Pm-3m
Energy relative to the elements, uncorrected = 0.719 eV/atom
Density of states at the Fermi level = 1.003 states/eV per atom
Crystal system = cubic
Energy above the lowest structure with this stoichiometry = 0.0000 eV/atom

Lattice parameters (Å, degrees): 4.9686 4.9686 4.9686 90.00 90.00 90.00
Closest atoms and distances in Å follow each position.
Fractional positions:
1 Hg 0.0000 0.0000 0.0000  12 Pt 3.51
2 Sb 0.5000 0.5000 0.5000  6 Pt 2.48
3 Pt 0.0000 0.5000 0.5000  2 Sb 2.48
4 Pt 0.5000 0.0000 0.5000  2 Sb 2.48
5 Pt 0.5000 0.5000 0.0000  2 Sb 2.48

=====

VASP calculation (PBE-GGA) on a relaxed structure of HgSb2Pt2.

SG = I4/mmm
Energy relative to the elements, uncorrected = -0.188 eV/atom
Density of states at the Fermi level = 0.548 states/eV per atom
Crystal system = tetragonal
Energy above the lowest structure with this stoichiometry = 0.0000 eV/atom

Lattice parameters (Å, degrees): 3.9812 3.9812 15.6644 90.00 90.00 90.00
Closest atoms and distances in Å follow each position.
Fractional positions:
1 Hg 0.0000 0.0000 0.0000  8 Sb 3.50
2 Hg 0.5000 0.5000 0.5000  8 Sb 3.50
3 Sb 0.0000 0.0000 0.3671  4 Pt 2.71
4 Sb 0.0000 0.0000 0.6329  4 Pt 2.71
5 Sb 0.5000 0.5000 0.1329  4 Pt 2.71
6 Sb 0.5000 0.5000 0.8671  4 Pt 2.71
7 Pt 0.0000 0.5000 0.2500  4 Sb 2.71, 4 Pt 2.82
8 Pt 0.0000 0.5000 0.7500  4 Sb 2.71, 4 Pt 2.82
9 Pt 0.5000 0.0000 0.2500  4 Sb 2.71, 4 Pt 2.82
10 Pt 0.5000 0.0000 0.7500  4 Sb 2.71, 4 Pt 2.82

=====

VASP calculation (PBE-GGA) on a relaxed structure of HgSb2Pt2.

SG = P4/mbm
Energy relative to the elements, uncorrected = -0.017 eV/atom
Density of states at the Fermi level = 0.455 states/eV per atom
Crystal system = tetragonal
Energy above the lowest structure with this stoichiometry = 0.1709 eV/atom

Lattice parameters (Å, degrees): 8.1972 8.1972 3.2209 90.00 90.00 90.00
Closest atoms and distances in Å follow each position.
Fractional positions:
1 Hg 0.0000 0.0000 0.0000  4 Sb 3.06, 2 Hg 3.22
2 Hg 0.5000 0.5000 0.0000  4 Sb 3.06, 2 Hg 3.22
3 Sb 0.1650 0.3350 0.0000  6 Pt 2.88-2.93, 2 Hg 3.06, 2 Sb 3.22
4 Sb 0.3350 0.8350 0.0000  6 Pt 2.88-2.93, 2 Hg 3.06, 2 Sb 3.22
5 Sb 0.6650 0.1650 0.0000  6 Pt 2.88-2.93, 2 Hg 3.06, 2 Sb 3.22
6 Sb 0.8350 0.6650 0.0000  6 Pt 2.88-2.93, 2 Hg 3.06, 2 Sb 3.22
7 Pt 0.1236 0.6236 0.5000  1 Pt 2.87, 6 Sb 2.88-2.93
8 Pt 0.3764 0.1236 0.5000  1 Pt 2.87, 6 Sb 2.88-2.93
9 Pt 0.6236 0.8764 0.5000  1 Pt 2.87, 6 Sb 2.88-2.93
10 Pt 0.8764 0.3764 0.5000  1 Pt 2.87, 6 Sb 2.88-2.93

=====

VASP calculation (PBE-GGA) on a relaxed structure of HgSb3Pt.

SG = Pm-3m
Energy relative to the elements, uncorrected = 0.378 eV/atom
Density of states at the Fermi level = 1.316 states/eV per atom
Crystal system = cubic
Energy above the lowest structure with this stoichiometry = 0.0000 eV/atom

Lattice parameters (Å, degrees): 5.3222 5.3222 5.3222 90.00 90.00 90.00
Closest atoms and distances in Å follow each position.
Fractional positions:
1 Hg 0.0000 0.0000 0.0000  12 Sb 3.76
2 Sb 0.0000 0.5000 0.5000  2 Pt 2.66
3 Sb 0.5000 0.0000 0.5000  2 Pt 2.66
4 Sb 0.5000 0.5000 0.0000  2 Pt 2.66
5 Pt 0.5000 0.5000 0.5000  6 Sb 2.66

=====

VASP calculation (PBE-GGA) on a relaxed structure of HgSbPt.

SG = Imm2
Energy relative to the elements, uncorrected = -0.030 eV/atom
Density of states at the Fermi level = 0.534 states/eV per atom
Crystal system = orthorhombic
Energy above the lowest structure with this stoichiometry = 0.1389 eV/atom

Lattice parameters (Å, degrees): 3.0504 3.5890 12.4009 90.00 90.00 90.00
Closest atoms and distances in Å follow each position.
Fractional positions:
1 Hg 0.0000 0.0000 0.0000  2 Hg 3.05, 4 Pt 3.09
2 Hg 0.5000 0.5000 0.5000  2 Hg 3.05, 4 Pt 3.09
3 Sb 0.0000 0.0000 0.7176  4 Pt 2.79, 2 Sb 3.05
4 Sb 0.5000 0.5000 0.2176  4 Pt 2.79, 2 Sb 3.05
5 Pt 0.0000 0.0000 0.3383  4 Sb 2.79, 2 Pt 3.05, 4 Hg 3.09
6 Pt 0.5000 0.5000 0.8383  4 Sb 2.79, 2 Pt 3.05, 4 Hg 3.09

=====

VASP calculation (PBE-GGA) on a relaxed structure of Sr2HgSbPt.

SG = P4/mmm
Energy relative to the elements, uncorrected = -0.595 eV/atom
Density of states at the Fermi level = 0.647 states/eV per atom
Crystal system = tetragonal

Lattice parameters (Å, degrees): 5.9349 5.9349 5.0494 90.00 90.00 90.00
Closest atoms and distances in Å follow each position.
Fractional positions:
1 Sr 0.0000 0.5000 0.0000  2 Pt 2.97
2 Sr 0.5000 0.0000 0.0000  2 Pt 2.97
3 Hg 0.0000 0.0000 0.5000  8 Sr 3.90, 4 Sb 4.20
4 Sb 0.5000 0.5000 0.5000  2 Pt 2.52
5 Pt 0.5000 0.5000 0.0000  2 Sb 2.52

=====

VASP calculation (PBE-GGA) on a relaxed structure of Sr2HgSb3Pt4.

SG = P-4m2
Energy relative to the elements, uncorrected = -0.719 eV/atom
Density of states at the Fermi level = 0.338 states/eV per atom
Crystal system = tetragonal

Lattice parameters (Å, degrees): 4.7311 4.7311 10.6307 90.00 90.00 90.00
Closest atoms and distances in Å follow each position.
Fractional positions:
1 Sr 0.0000 0.5000 0.2454  8 Pt 3.52-3.59, 7 Sb 3.59-3.92, 2 Hg 3.59
2 Sr 0.5000 0.0000 0.7546  8 Pt 3.52-3.59, 7 Sb 3.59-3.92, 2 Hg 3.59
3 Hg 0.0000 0.0000 0.5000  4 Pt 2.75
4 Sb 0.0000 0.5000 0.8765  5 Pt 2.61-2.71
5 Sb 0.5000 0.0000 0.1235  5 Pt 2.61-2.71
6 Sb 0.5000 0.5000 0.5000  4 Pt 2.75
7 Pt 0.0000 0.0000 0.0000  4 Sb 2.71
8 Pt 0.0000 0.5000 0.6313  3 Sb 2.61-2.75, 2 Hg 2.75
9 Pt 0.5000 0.0000 0.3687  3 Sb 2.61-2.75, 2 Hg 2.75
10 Pt 0.5000 0.5000 0.0000  4 Sb 2.71

=====

VASP calculation (PBE-GGA) on a relaxed structure of Sr2HgSb4Pt3.

SG = P-4m2
Energy relative to the elements, uncorrected = -0.663 eV/atom
Density of states at the Fermi level = 0.361 states/eV per atom
Crystal system = tetragonal

Lattice parameters (Å, degrees): 4.7950 4.7950 10.8942 90.00 90.00 90.00
Closest atoms and distances in Å follow each position.
Fractional positions:
1 Sr 0.0000 0.5000 0.2502  8 Sb 3.59-3.63, 2 Hg 3.63, 7 Pt 3.63-4.01
2 Sr 0.5000 0.0000 0.7498  8 Sb 3.59-3.63, 2 Hg 3.63, 7 Pt 3.63-4.01
3 Hg 0.0000 0.0000 0.5000  4 Sb 2.85
4 Sb 0.0000 0.0000 0.0000  4 Pt 2.72
5 Sb 0.0000 0.5000 0.6406  3 Pt 2.63-2.85, 2 Hg 2.85
6 Sb 0.5000 0.0000 0.3594  3 Pt 2.63-2.85, 2 Hg 2.85
7 Sb 0.5000 0.5000 0.0000  4 Pt 2.72
8 Pt 0.0000 0.5000 0.8817  5 Sb 2.63-2.72
9 Pt 0.5000 0.0000 0.1183  5 Sb 2.63-2.72
10 Pt 0.5000 0.5000 0.5000  4 Sb 2.85